A plane-wave DFT calculation with PBE was carried out for a geometry-optimized DyMgSi2Ni2 structure.

Computed properties:
- Space group: P-3m1
- Theoretical density: 6.3 g/cm3
- Energy: -5.4061 eV per atom
- Fermi-level density of states: 3.04 states/eV/cell
- Crystal system: trigonal

Lattice parameters (Å, degrees): 4.0643 4.0643 6.6302 90.00 90.00 120.00
Atoms (fractional coordinates):
Dy 0.0000 0.0000 0.0000
Mg 0.0000 0.0000 0.5000
Si 0.3333 0.6667 0.2855
Si 0.6667 0.3333 0.7145
Ni 0.3333 0.6667 0.6779
Ni 0.6667 0.3333 0.3221

***

A plane-wave DFT calculation with PBE was carried out for a geometry-optimized TbDyMgNi structure.

Computed properties:
- Space group: P4mm
- ΔH_f (0 K): -245 meV/atom
- Theoretical density: 7.1 g/cm3
- Excess energy over the best structure of this formula in the dataset: 0 meV/atom
- Energy: -4.3971 eV per atom
- Fermi-level density of states: 2.25 states/eV/cell
- Crystal system: tetragonal

Lattice parameters (Å, degrees): 3.4506 3.4506 7.9066 90.00 90.00 90.00
Atoms (fractional coordinates):
Tb 0.0000 0.0000 0.0000
Dy 0.0000 0.0000 0.5939
Mg 0.5000 0.5000 0.2981
Ni 0.5000 0.5000 0.7949

***

A plane-wave DFT calculation with PBE was carried out for a geometry-optimized TbDyMgNi structure.

Computed properties:
- Space group: F-43m
- ΔH_f (0 K): -112 meV/atom
- Theoretical density: 7.3 g/cm3
- Excess energy over the best structure of this formula in the dataset: 133 meV/atom
- Energy: -4.2639 eV per atom
- Fermi-level density of states: 3.00 states/eV/cell
- Crystal system: cubic

Lattice parameters (Å, degrees): 5.0593 5.0593 5.0593 60.00 60.00 60.00
Atoms (fractional coordinates):
Tb 0.0000 0.0000 0.0000
Dy 0.5000 0.5000 0.5000
Mg 0.2500 0.2500 0.2500
Ni 0.7500 0.7500 0.7500

***

A plane-wave DFT calculation with PBE was carried out for a geometry-optimized DyMgTlNi structure.

Computed properties:
- Space group: F-43m
- ΔH_f (0 K): -174 meV/atom
- Theoretical density: 8.9 g/cm3
- Energy: -3.7598 eV per atom
- Fermi-level density of states: 1.94 states/eV/cell
- Crystal system: cubic

Lattice parameters (Å, degrees): 4.9122 4.9122 4.9122 60.00 60.00 60.00
Atoms (fractional coordinates):
Dy 0.0000 0.0000 0.0000
Mg 0.5000 0.5000 0.5000
Tl 0.7500 0.7500 0.7500
Ni 0.2500 0.2500 0.2500

***

A plane-wave DFT calculation with PBE was carried out for a geometry-optimized DyTmMgNi structure.

Computed properties:
- Space group: P4mm
- ΔH_f (0 K): -266 meV/atom
- Theoretical density: 7.5 g/cm3
- Excess energy over the best structure of this formula in the dataset: 0 meV/atom
- Energy: -4.3779 eV per atom
- Fermi-level density of states: 2.23 states/eV/cell
- Crystal system: tetragonal

Lattice parameters (Å, degrees): 3.4178 3.4178 7.8579 90.00 90.00 90.00
Atoms (fractional coordinates):
Dy 0.0000 0.0000 0.0000
Tm 0.0000 0.0000 0.5951
Mg 0.5000 0.5000 0.3008
Ni 0.5000 0.5000 0.7916

***

A plane-wave DFT calculation with PBE was carried out for a geometry-optimized DyTmMgNi structure.

Computed properties:
- Space group: F-43m
- ΔH_f (0 K): -127 meV/atom
- Theoretical density: 7.7 g/cm3
- Excess energy over the best structure of this formula in the dataset: 139 meV/atom
- Energy: -4.2393 eV per atom
- Fermi-level density of states: 2.84 states/eV/cell
- Crystal system: cubic

Lattice parameters (Å, degrees): 5.0122 5.0122 5.0122 60.00 60.00 60.00
Atoms (fractional coordinates):
Dy 0.0000 0.0000 0.0000
Tm 0.5000 0.5000 0.5000
Mg 0.7500 0.7500 0.7500
Ni 0.2500 0.2500 0.2500

***

A plane-wave DFT calculation with PBE was carried out for a geometry-optimized DyYMgNi structure.

Computed properties:
- Space group: F-43m
- ΔH_f (0 K): -118 meV/atom
- Theoretical density: 6.1 g/cm3
- Excess energy over the best structure of this formula in the dataset: 130 meV/atom
- Energy: -4.7283 eV per atom
- Fermi-level density of states: 3.05 states/eV/cell
- Crystal system: cubic

Lattice parameters (Å, degrees): 5.0573 5.0573 5.0573 60.00 60.00 60.00
Atoms (fractional coordinates):
Dy 0.0000 0.0000 0.0000
Y 0.5000 0.5000 0.5000
Mg 0.2500 0.2500 0.2500
Ni 0.7500 0.7500 0.7500

***

A plane-wave DFT calculation with PBE was carried out for a geometry-optimized DyYMgNi structure.

Computed properties:
- Space group: P4mm
- ΔH_f (0 K): -247 meV/atom
- Theoretical density: 5.9 g/cm3
- Excess energy over the best structure of this formula in the dataset: 0 meV/atom
- Energy: -4.8579 eV per atom
- Fermi-level density of states: 2.37 states/eV/cell
- Crystal system: tetragonal

Lattice parameters (Å, degrees): 3.4526 3.4526 7.8944 90.00 90.00 90.00
Atoms (fractional coordinates):
Dy 0.0000 0.0000 0.0000
Y 0.0000 0.0000 0.5928
Mg 0.5000 0.5000 0.2960
Ni 0.5000 0.5000 0.8006

***

A plane-wave DFT calculation with PBE was carried out for a geometry-optimized DyMgZn5Ni2 structure.

Computed properties:
- Space group: P4/mmm
- ΔH_f (0 K): -113 meV/atom
- Theoretical density: 6.9 g/cm3
- Energy: -2.7942 eV per atom
- Fermi-level density of states: 4.03 states/eV/cell
- Crystal system: tetragonal

Lattice parameters (Å, degrees): 4.5733 4.5733 7.2487 90.00 90.00 90.00
Atoms (fractional coordinates):
Dy 0.0000 0.0000 0.0000
Mg 0.0000 0.0000 0.5000
Zn 0.0000 0.5000 0.2633
Zn 0.0000 0.5000 0.7367
Zn 0.5000 0.0000 0.2633
Zn 0.5000 0.0000 0.7367
Zn 0.5000 0.5000 0.0000
Ni 0.5000 0.5000 0.3385
Ni 0.5000 0.5000 0.6615

***

A plane-wave DFT calculation with PBE was carried out for a geometry-optimized DyMg2NpO8 structure.

Computed properties:
- Space group: P2/m
- Theoretical density: 6.2 g/cm3
- Energy: -7.4942 eV per atom
- Crystal system: monoclinic

Lattice parameters (Å, degrees): 4.6607 6.9647 4.7272 90.00 91.39 90.00
Atoms (fractional coordinates):
Dy 0.0000 0.0000 0.0000
Mg 0.5000 0.2773 0.5000
Mg 0.5000 0.7227 0.5000
Np 0.0000 0.5000 0.0000
O 0.2091 0.2684 0.8288
O 0.2091 0.7316 0.8288
O 0.2789 0.5000 0.3175
O 0.3532 0.0000 0.4192
O 0.6468 0.0000 0.5808
O 0.7211 0.5000 0.6825
O 0.7909 0.2684 0.1712
O 0.7909 0.7316 0.1712

***

A plane-wave DFT calculation with PBE was carried out for a geometry-optimized DyMgNpO6 structure.

Computed properties:
- Space group: P-31c
- Theoretical density: 7.1 g/cm3
- Energy: -8.3126 eV per atom
- Crystal system: trigonal

Lattice parameters (Å, degrees): 5.3858 5.3858 9.7375 90.00 90.00 120.00
Atoms (fractional coordinates):
Dy 0.0000 0.0000 0.0000
Dy 0.0000 0.0000 0.5000
Mg 0.3333 0.6667 0.2500
Mg 0.6667 0.3333 0.7500
Np 0.3333 0.6667 0.7500
Np 0.6667 0.3333 0.2500
O 0.0116 0.3555 0.6373
O 0.0116 0.6561 0.8627
O 0.3439 0.3555 0.8627
O 0.3439 0.9884 0.6373
O 0.3555 0.0116 0.1373
O 0.3555 0.3439 0.3627
O 0.6445 0.6561 0.6373
O 0.6445 0.9884 0.8627
O 0.6561 0.0116 0.3627
O 0.6561 0.6445 0.1373
O 0.9884 0.3439 0.1373
O 0.9884 0.6445 0.3627

***

A plane-wave DFT calculation with PBE was carried out for a geometry-optimized DyMgO2 structure.

Computed properties:
- Space group: R-3m
- Theoretical density: 7.6 g/cm3
- Energy: -6.6307 eV per atom
- Fermi-level density of states: 1.51 states/eV/cell
- Crystal system: trigonal

Lattice parameters (Å, degrees): 5.8306 5.8306 5.8306 31.45 31.45 31.45
Atoms (fractional coordinates):
Dy 0.0000 0.0000 0.0000
Mg 0.5000 0.5000 0.5000
O 0.2376 0.2376 0.2376
O 0.7624 0.7624 0.7624

***

A plane-wave DFT calculation with PBE was carried out for a geometry-optimized DyMgP2O8 structure.

Computed properties:
- Space group: P-3m1
- Theoretical density: 4.1 g/cm3
- Energy: -7.2411 eV per atom
- Fermi-level density of states: 7.67 states/eV/cell
- Crystal system: trigonal

Lattice parameters (Å, degrees): 5.1419 5.1419 6.6078 90.00 90.00 120.00
Atoms (fractional coordinates):
Dy 0.0000 0.0000 0.0000
Mg 0.0000 0.0000 0.5000
P 0.3333 0.6667 0.2141
P 0.6667 0.3333 0.7859
O 0.1687 0.3374 0.2872
O 0.1687 0.8313 0.2872
O 0.3333 0.6667 0.9804
O 0.3374 0.1687 0.7128
O 0.6626 0.8313 0.2872
O 0.6667 0.3333 0.0196
O 0.8313 0.1687 0.7128
O 0.8313 0.6626 0.7128

***

A plane-wave DFT calculation with PBE was carried out for a geometry-optimized DyMgPaO6 structure.

Computed properties:
- Space group: P312
- Theoretical density: 6.8 g/cm3
- Energy: -7.7702 eV per atom
- Fermi-level density of states: 7.06 states/eV/cell
- Crystal system: trigonal

Lattice parameters (Å, degrees): 5.5305 5.5305 4.7703 90.00 90.00 120.00
Atoms (fractional coordinates):
Dy 0.0000 0.0000 0.0000
Mg 0.3333 0.6667 0.0000
Pa 0.6667 0.3333 0.5000
O 0.0012 0.3539 0.2397
O 0.0012 0.6472 0.7603
O 0.3528 0.3539 0.7603
O 0.3528 0.9988 0.2397
O 0.6461 0.6472 0.2397
O 0.6461 0.9988 0.7603

***

A plane-wave DFT calculation with PBE was carried out for a geometry-optimized DyMgPdO4 structure.

Computed properties:
- Space group: Imma
- Theoretical density: 6.6 g/cm3
- Energy: -6.5065 eV per atom
- Fermi-level density of states: 4.48 states/eV/cell
- Crystal system: orthorhombic

Lattice parameters (Å, degrees): 6.1829 6.1829 6.1829 114.22 110.84 103.53
Atoms (fractional coordinates):
Dy 0.5000 0.0000 0.0000
Dy 0.5000 0.5000 0.5000
Mg 0.0528 0.3028 0.7500
Mg 0.9472 0.6972 0.2500
Pd 0.0000 0.0000 0.0000
Pd 0.5000 0.0000 0.5000
O 0.2017 0.1528 0.4511
O 0.2017 0.7506 0.0489
O 0.2697 0.7348 0.5348
O 0.3000 0.2652 0.0348
O 0.7000 0.7348 0.9652
O 0.7303 0.2652 0.4652
O 0.7983 0.2494 0.9511
O 0.7983 0.8472 0.5489

***

A plane-wave DFT calculation with PBE was carried out for a geometry-optimized Dy2MgPdO5 structure.

Computed properties:
- Space group: P4/mbm
- Theoretical density: 7.5 g/cm3
- Energy: -6.8179 eV per atom
- Fermi-level density of states: 0.00 states/eV/cell
- Crystal system: tetragonal

Lattice parameters (Å, degrees): 6.4288 6.4288 5.7613 90.00 90.00 90.00
Atoms (fractional coordinates):
Dy 0.1719 0.3281 0.0000
Dy 0.3281 0.8281 0.0000
Dy 0.6719 0.1719 0.0000
Dy 0.8281 0.6719 0.0000
Mg 0.0000 0.0000 0.5000
Mg 0.5000 0.5000 0.5000
Pd 0.0000 0.5000 0.5000
Pd 0.5000 0.0000 0.5000
O 0.0000 0.0000 0.0000
O 0.1486 0.6486 0.2487
O 0.1486 0.6486 0.7513
O 0.3514 0.1486 0.2487
O 0.3514 0.1486 0.7513
O 0.5000 0.5000 0.0000
O 0.6486 0.8514 0.2487
O 0.6486 0.8514 0.7513
O 0.8514 0.3514 0.2487
O 0.8514 0.3514 0.7513

***

A plane-wave DFT calculation with PBE was carried out for a geometry-optimized Pr2DyMgO structure.

Computed properties:
- Space group: P4/mmm
- Theoretical density: 6.5 g/cm3
- Energy: -5.3265 eV per atom
- Fermi-level density of states: 3.76 states/eV/cell
- Crystal system: tetragonal

Lattice parameters (Å, degrees): 5.1421 5.1421 4.6966 90.00 90.00 90.00
Atoms (fractional coordinates):
Pr 0.0000 0.5000 0.0000
Pr 0.5000 0.0000 0.0000
Dy 0.0000 0.0000 0.5000
Mg 0.5000 0.5000 0.5000
O 0.0000 0.0000 0.0000

***

A plane-wave DFT calculation with PBE was carried out for a geometry-optimized Dy2MgPtO5 structure.

Computed properties:
- Space group: P4/mbm
- Theoretical density: 8.6 g/cm3
- Energy: -6.9073 eV per atom
- Crystal system: tetragonal

Lattice parameters (Å, degrees): 6.4396 6.4396 5.8123 90.00 90.00 90.00
Atoms (fractional coordinates):
Dy 0.1729 0.3271 0.0000
Dy 0.3271 0.8271 0.0000
Dy 0.6729 0.1729 0.0000
Dy 0.8271 0.6729 0.0000
Mg 0.0000 0.0000 0.5000
Mg 0.5000 0.5000 0.5000
Pt 0.0000 0.5000 0.5000
Pt 0.5000 0.0000 0.5000
O 0.0000 0.0000 0.0000
O 0.1465 0.6465 0.2447
O 0.1465 0.6465 0.7553
O 0.3535 0.1465 0.2447
O 0.3535 0.1465 0.7553
O 0.5000 0.5000 0.0000
O 0.6465 0.8535 0.2447
O 0.6465 0.8535 0.7553
O 0.8535 0.3535 0.2447
O 0.8535 0.3535 0.7553

***

A plane-wave DFT calculation with PBE was carried out for a geometry-optimized RbDyMgO3 structure.

Computed properties:
- Space group: P2_1/m
- Theoretical density: 4.5 g/cm3
- Energy: -6.2441 eV per atom
- Fermi-level density of states: 0.00 states/eV/cell
- Crystal system: monoclinic

Lattice parameters (Å, degrees): 7.5757 3.5832 9.4809 90.00 111.96 90.00
Atoms (fractional coordinates):
Rb 0.2060 0.2500 0.1820
Rb 0.7940 0.7500 0.8180
Dy 0.3288 0.7500 0.8620
Dy 0.6712 0.2500 0.1380
Mg 0.0591 0.2500 0.6144
Mg 0.9409 0.7500 0.3856
O 0.1187 0.2500 0.8361
O 0.1554 0.7500 0.5904
O 0.4683 0.7500 0.1159
O 0.5317 0.2500 0.8841
O 0.8446 0.2500 0.4096
O 0.8813 0.7500 0.1639

***

A plane-wave DFT calculation with PBE was carried out for a geometry-optimized Sm2DyMgO structure.

Computed properties:
- Space group: P4/mmm
- Theoretical density: 7.1 g/cm3
- Energy: -5.3133 eV per atom
- Fermi-level density of states: 4.27 states/eV/cell
- Crystal system: tetragonal

Lattice parameters (Å, degrees): 4.9811 4.9811 4.7672 90.00 90.00 90.00
Atoms (fractional coordinates):
Sm 0.0000 0.5000 0.0000
Sm 0.5000 0.0000 0.0000
Dy 0.0000 0.0000 0.5000
Mg 0.5000 0.5000 0.5000
O 0.0000 0.0000 0.0000